A plane-wave DFT calculation with PBE with a Hubbard U was carried out for crystalline ScNiOF2 at its relaxed geometry. Values from VASP.

Cell and atoms, written as Quantum ESPRESSO input:
```
&SYSTEM
  ibrav = 0, nat = 5, ntyp = 4
/
ATOMIC_SPECIES
Sc 44.96 Sc.upf
Ni 58.69 Ni.upf
O 16.00 O.upf
F 19.00 F.upf
CELL_PARAMETERS angstrom
4.064 0.000 0.000
0.000 4.064 0.000
0.000 0.000 4.079
ATOMIC_POSITIONS crystal
Sc 0.000 0.000 0.000
Ni 0.500 0.500 0.500
O 0.000 0.000 0.500
F 0.000 0.500 0.000
F 0.500 0.000 0.000
```

Values from the calculation:
DFT total energy	-29.30	eV/f.u.
Fermi-level density of states	0.000	states/eV/atom